## w
Here is a relaxed structure of VFe2HIr from Alexandria. Energies are from PBE-GGA.

a = 3.739 Å, b = 3.739 Å, c = 3.782 Å
α = 90.00°, β = 90.00°, γ = 90.00°
Each line ends with the local moment (μB).
Atoms (fractional coordinates):
Fe  0.000  0.500  0.000  2.01
Fe  0.500  0.000  0.000  2.01
Ir  0.000  0.000  0.500  0.14
H  0.000  0.000  0.000  -0.02
V  0.500  0.500  0.500  -1.29

***

## x
Here is a relaxed structure of VFe2HIr from Alexandria. Energies are from PBE-GGA.

a = 3.645 Å, b = 3.645 Å, c = 3.767 Å
α = 90.00°, β = 90.00°, γ = 90.00°
Each line ends with the local moment (μB).
Atoms (fractional coordinates):
Fe  0.000  0.500  0.000  0.48
Fe  0.500  0.000  0.000  0.48
H  0.000  0.000  0.000  0.00
V  0.000  0.000  0.500  -0.32
Ir  0.500  0.500  0.500  0.01

***

Name the least stable of them. w.

***

## w
Here is a relaxed structure of Fe2HIrW from Alexandria. Energies are from PBE-GGA.

a = 3.733 Å, b = 3.733 Å, c = 3.828 Å
α = 90.00°, β = 90.00°, γ = 90.00°
Atoms (fractional coordinates):
Fe  0.000  0.500  0.000
Fe  0.500  0.000  0.000
H  0.000  0.000  0.000
W  0.000  0.000  0.500
Ir  0.500  0.500  0.500

***

## x
Here is a relaxed structure of Fe2HIrW from Alexandria. Energies are from PBE-GGA.

a = 3.776 Å, b = 3.776 Å, c = 3.733 Å
α = 90.00°, β = 90.00°, γ = 90.00°
Atoms (fractional coordinates):
W  0.500  0.500  0.500
Fe  0.500  0.000  0.000
Fe  0.000  0.500  0.000
H  0.000  0.000  0.000
Ir  0.000  0.000  0.500

***

Name the least stable of them. w.

***

## w
Here is a relaxed structure of ZnFe2HIr from Alexandria. Energies are from PBE-GGA.

a = 3.776 Å, b = 3.776 Å, c = 3.853 Å
α = 90.00°, β = 90.00°, γ = 90.00°
Each line ends with the local moment (μB).
Atoms (fractional coordinates):
Ir  0.000  0.000  0.500  0.38
Fe  0.000  0.500  0.000  2.65
Fe  0.500  0.000  0.000  2.65
Zn  0.500  0.500  0.500  -0.04
H  0.000  0.000  0.000  -0.01

***

## x
Here is a relaxed structure of ZnFe2HIr from Alexandria. Energies are from PBE-GGA.

a = 3.670 Å, b = 3.670 Å, c = 4.048 Å
α = 90.00°, β = 90.00°, γ = 90.00°
Each line ends with the local moment (μB).
Atoms (fractional coordinates):
Zn  0.000  0.000  0.500  -0.03
Fe  0.000  0.500  0.000  2.60
Fe  0.500  0.000  0.000  2.60
H  0.000  0.000  0.000  -0.03
Ir  0.500  0.500  0.500  0.52

***

Name the least stable of them. x.

***

## w
Here is a relaxed structure of ZrFe2HIr from Alexandria. Energies are from PBE-GGA.

a = 3.802 Å, b = 3.802 Å, c = 4.213 Å
α = 90.00°, β = 90.00°, γ = 90.00°
Each line ends with the local moment (μB).
Atoms (fractional coordinates):
Ir  0.500  0.500  0.500  0.09
H  0.000  0.000  0.000  -0.02
Fe  0.500  0.000  0.000  2.08
Fe  0.000  0.500  0.000  2.08
Zr  0.000  0.000  0.500  -0.27

***

## x
Here is a relaxed structure of ZrFe2HIr from Alexandria. Energies are from PBE-GGA.

a = 3.922 Å, b = 3.922 Å, c = 3.928 Å
α = 90.00°, β = 90.00°, γ = 90.00°
Each line ends with the local moment (μB).
Atoms (fractional coordinates):
H  0.000  0.000  0.000  -0.02
Zr  0.500  0.500  0.500  -0.39
Fe  0.500  0.000  0.000  2.03
Fe  0.000  0.500  0.000  2.03
Ir  0.000  0.000  0.500  0.12

***

Name the least stable of them. x.

***

## w
Here is a relaxed structure of La2FeH from Alexandria. Energies are from PBE-GGA.

a = 4.782 Å, b = 4.782 Å, c = 4.782 Å
α = 60.00°, β = 60.00°, γ = 60.00°
Atoms (fractional coordinates):
La  0.750  0.750  0.750
La  0.250  0.250  0.250
Fe  0.500  0.500  0.500
H  0.000  0.000  0.000

***

## x
Here is a relaxed structure of La2FeH from Alexandria. Energies are from PBE-GGA.

a = 5.334 Å, b = 5.334 Å, c = 7.564 Å
α = 69.36°, β = 69.36°, γ = 90.00°
Atoms (fractional coordinates):
H  0.500  0.500  0.000
H  0.250  0.750  0.500
Fe  0.000  0.000  0.000
Fe  0.750  0.250  0.500
La  0.614  0.125  0.250
La  0.875  0.864  0.750
La  0.375  0.386  0.750
La  0.136  0.625  0.250

***

Name the least stable of them. w.

***

## w
Here is a relaxed structure of La2Fe2H from Alexandria. Energies are from PBE-GGA.

a = 5.329 Å, b = 5.329 Å, c = 4.883 Å
α = 56.93°, β = 56.93°, γ = 90.00°
Each line ends with the local moment (μB).
Atoms (fractional coordinates):
H  0.000  0.000  0.000  -0.01
La  0.250  0.750  0.500  -0.25
La  0.750  0.250  0.500  -0.25
Fe  0.713  0.713  0.573  1.11
Fe  0.287  0.287  0.427  1.11

***

## x
Here is a relaxed structure of La2Fe2H from Alexandria. Energies are from PBE-GGA.

a = 7.688 Å, b = 7.688 Å, c = 3.606 Å
α = 90.00°, β = 90.00°, γ = 90.00°
Each line ends with the local moment (μB).
Atoms (fractional coordinates):
Fe  0.599  0.099  0.000  1.90
Fe  0.099  0.401  0.000  1.90
Fe  0.401  0.901  0.000  1.90
Fe  0.901  0.599  0.000  1.90
H  0.500  0.500  0.000  0.02
H  0.000  0.000  0.000  0.02
La  0.693  0.807  0.500  -0.19
La  0.193  0.693  0.500  -0.20
La  0.807  0.307  0.500  -0.20
La  0.307  0.193  0.500  -0.19

***

Name the least stable of them. w.

***

## w
Here is a relaxed structure of LaFe5H7 from Alexandria. Energies are from PBE-GGA.

a = 5.619 Å, b = 5.619 Å, c = 8.277 Å
α = 90.00°, β = 90.00°, γ = 120.00°
Each line ends with the local moment (μB).
Atoms (fractional coordinates):
La  0.000  0.000  0.523  -0.05
La  0.000  0.000  0.023  -0.05
H  0.497  0.503  0.063  -0.01
H  0.720  0.860  0.273  0.00
H  0.006  0.503  0.063  -0.01
H  0.280  0.140  0.773  0.00
H  0.497  0.994  0.063  -0.01
H  0.333  0.667  0.766  -0.02
H  0.994  0.497  0.563  -0.01
H  0.860  0.720  0.773  0.00
H  0.140  0.860  0.273  0.00
H  0.667  0.333  0.266  -0.02
H  0.503  0.497  0.563  -0.01
H  0.140  0.280  0.273  0.00
H  0.860  0.140  0.773  0.00
H  0.503  0.006  0.563  -0.01
Fe  0.024  0.512  0.273  2.46
Fe  0.512  0.488  0.773  2.46
Fe  0.667  0.333  0.015  2.51
Fe  0.488  0.976  0.273  2.46
Fe  0.488  0.512  0.273  2.46
Fe  0.667  0.333  0.488  2.46
Fe  0.976  0.488  0.773  2.46
Fe  0.512  0.024  0.773  2.46
Fe  0.333  0.667  0.988  2.46
Fe  0.333  0.667  0.515  2.51

***

## x
Here is a relaxed structure of LaFe5H7 from Alexandria. Energies are from PBE-GGA.

a = 5.505 Å, b = 5.505 Å, c = 8.220 Å
α = 90.00°, β = 90.00°, γ = 116.50°
Each line ends with the local moment (μB).
Atoms (fractional coordinates):
H  0.000  0.500  0.000  -0.01
H  0.500  0.000  0.500  -0.01
H  0.200  0.409  0.652  -0.02
H  0.800  0.591  0.348  -0.02
H  0.844  0.156  0.250  -0.01
H  0.156  0.844  0.250  -0.01
H  0.591  0.800  0.848  -0.02
H  0.591  0.800  0.152  -0.02
H  0.800  0.591  0.652  -0.02
H  0.844  0.156  0.750  -0.01
H  0.409  0.200  0.848  -0.02
H  0.156  0.844  0.750  -0.01
H  0.200  0.409  0.348  -0.02
H  0.409  0.200  0.152  -0.02
La  0.000  0.000  0.500  -0.11
La  0.000  0.000  0.000  -0.11
Fe  0.000  0.500  0.767  2.01
Fe  0.645  0.338  0.000  2.53
Fe  0.500  0.000  0.267  2.01
Fe  0.000  0.500  0.233  2.01
Fe  0.500  0.500  0.250  2.30
Fe  0.338  0.645  0.500  2.53
Fe  0.500  0.500  0.750  2.30
Fe  0.500  0.000  0.733  2.01
Fe  0.662  0.355  0.500  2.53
Fe  0.355  0.662  0.000  2.53

***

Name the least stable of them. w.

***

## w
Here is a relaxed structure of LiFe3H from Alexandria. Energies are from PBE-GGA.

a = 3.663 Å, b = 3.663 Å, c = 3.663 Å
α = 90.00°, β = 90.00°, γ = 90.00°
Each line ends with the local moment (μB).
Atoms (fractional coordinates):
Fe  0.000  0.000  0.500  2.63
Fe  0.500  0.000  0.000  2.19
Fe  0.000  0.500  0.000  2.50
H  0.000  0.000  0.000  -0.03
Li  0.500  0.500  0.500  -0.10

***

## x
Here is a relaxed structure of LiFe3H from Alexandria. Energies are from PBE-GGA.

a = 4.010 Å, b = 4.010 Å, c = 4.010 Å
α = 90.00°, β = 90.00°, γ = 90.00°
Each line ends with the local moment (μB).
Atoms (fractional coordinates):
Li  0.000  0.000  0.000  -0.11
H  0.500  0.500  0.500  0.01
Fe  0.500  0.000  0.000  2.40
Fe  0.000  0.500  0.000  2.77
Fe  0.000  0.000  0.500  2.82

***

Name the least stable of them. x.

***

## w
Here is a relaxed structure of Li3FeH6 from Alexandria. Energies are from PBE-GGA.

a = 4.642 Å, b = 4.680 Å, c = 4.680 Å
α = 60.04°, β = 61.29°, γ = 61.29°
Each line ends with the local moment (μB).
Atoms (fractional coordinates):
H  0.333  0.204  0.676  0.01
H  0.667  0.796  0.324  0.01
H  0.333  0.676  0.204  0.01
H  0.667  0.324  0.796  0.01
H  0.821  0.276  0.276  0.01
H  0.179  0.724  0.724  0.01
Li  0.000  0.000  0.000  0.01
Li  0.271  0.245  0.245  0.01
Li  0.729  0.755  0.755  0.01
Fe  0.500  0.500  0.500  -1.09

***

## x
Here is a relaxed structure of Li3FeH6 from Alexandria. Energies are from PBE-GGA.

a = 4.781 Å, b = 4.781 Å, c = 4.781 Å
α = 90.48°, β = 119.72°, γ = 119.72°
Each line ends with the local moment (μB).
Atoms (fractional coordinates):
H  0.000  0.235  0.235  0.01
H  0.324  0.000  0.324  0.01
H  0.324  0.324  0.000  0.01
H  0.676  0.000  0.676  0.01
H  0.676  0.676  0.000  0.01
H  0.000  0.765  0.765  0.01
Li  0.500  0.750  0.250  0.01
Li  0.000  0.500  0.500  0.01
Li  0.500  0.250  0.750  0.01
Fe  0.000  0.000  0.000  -1.11

***

Name the least stable of them. x.

***

## w
Here is a relaxed structure of Li3FeH8 from Alexandria. Energies are from PBE-GGA.

a = 4.226 Å, b = 4.226 Å, c = 5.239 Å
α = 113.78°, β = 113.78°, γ = 90.00°
Atoms (fractional coordinates):
H  0.113  0.678  0.791
H  0.887  0.322  0.209
H  0.678  0.113  0.791
H  0.322  0.322  0.209
H  0.322  0.887  0.209
H  0.887  0.887  0.209
H  0.678  0.678  0.791
H  0.113  0.113  0.791
Li  0.500  0.500  0.000
Li  0.750  0.250  0.500
Li  0.250  0.750  0.500
Fe  0.000  0.000  0.000

***

## x
Here is a relaxed structure of Li3FeH8 from Alexandria. Energies are from PBE-GGA.

a = 4.268 Å, b = 4.268 Å, c = 4.268 Å
α = 90.00°, β = 90.00°, γ = 90.00°
Atoms (fractional coordinates):
H  0.788  0.212  0.212
H  0.212  0.212  0.212
H  0.212  0.788  0.212
H  0.212  0.788  0.788
H  0.788  0.788  0.212
H  0.788  0.212  0.788
H  0.788  0.788  0.788
H  0.212  0.212  0.788
Li  0.000  0.500  0.500
Li  0.500  0.000  0.500
Li  0.500  0.500  0.000
Fe  0.000  0.000  0.000

***

Name the least stable of them. w.

***

## w
Here is a relaxed structure of Li2FeH6 from Alexandria. Energies are from PBE-GGA.

a = 4.204 Å, b = 4.204 Å, c = 8.323 Å
α = 90.00°, β = 90.00°, γ = 90.00°
Each line ends with the local moment (μB).
Atoms (fractional coordinates):
H  0.767  0.233  0.500  -0.01
H  0.823  0.177  0.143  -0.02
H  0.677  0.677  0.357  -0.02
H  0.177  0.823  0.143  -0.02
H  0.323  0.323  0.357  -0.02
H  0.323  0.323  0.643  -0.02
H  0.823  0.177  0.857  -0.02
H  0.733  0.733  0.000  -0.01
H  0.233  0.767  0.500  -0.01
H  0.267  0.267  0.000  -0.01
H  0.177  0.823  0.857  -0.02
H  0.677  0.677  0.643  -0.02
Li  0.000  0.000  0.336  -0.01
Li  0.500  0.500  0.836  -0.01
Li  0.000  0.000  0.664  -0.01
Li  0.500  0.500  0.164  -0.01
Fe  0.000  0.000  0.000  2.10
Fe  0.500  0.500  0.500  2.10

***

## x
Here is a relaxed structure of Li2FeH6 from Alexandria. Energies are from PBE-GGA.

a = 4.581 Å, b = 4.581 Å, c = 4.581 Å
α = 60.00°, β = 60.00°, γ = 60.00°
Each line ends with the local moment (μB).
Atoms (fractional coordinates):
H  0.756  0.244  0.244  -0.02
H  0.244  0.756  0.756  -0.02
H  0.756  0.244  0.756  -0.02
H  0.244  0.244  0.756  -0.02
H  0.756  0.756  0.244  -0.02
H  0.244  0.756  0.244  -0.02
Li  0.250  0.250  0.250  0.00
Li  0.750  0.750  0.750  0.00
Fe  0.000  0.000  0.000  2.07

***

## y
Here is a relaxed structure of Li2FeH6 from Alexandria. Energies are from PBE-GGA.

a = 2.870 Å, b = 4.543 Å, c = 5.041 Å
α = 116.78°, β = 106.53°, γ = 90.00°
Atoms (fractional coordinates):
Li  0.670  0.670  0.341
Li  0.330  0.330  0.659
H  0.138  0.910  0.276
H  0.500  0.183  0.000
H  0.862  0.634  0.724
H  0.138  0.366  0.276
H  0.862  0.090  0.724
H  0.500  0.817  0.000
Fe  0.000  0.000  0.000

***

Name the least stable of them. w.